Cs3Cd2PbF9: relaxed, PBE.

Results
DFT total energy = -4.1537 eV/atom

a b c (Å): 6.5925 6.5925 8.1003
angles (deg): 90.00 90.00 120.00
Space group P-3m1 (No. 164)
One atom of each set of equivalent atoms:
1 Cs 0.0000 0.0000 0.0000 [1 per cell]
2 Cs 0.3333 0.6667 0.6726 [2 per cell]
3 Cd 0.3333 0.6667 0.1575 [2 per cell]
4 Pb 0.0000 0.0000 0.5000 [1 per cell]
5 F 0.0000 0.5000 0.0000 [3 per cell]
6 F 0.1730 0.3460 0.3222 [6 per cell]